Computed, not measured: TcCl2 after structural relaxation at the GGA-PBE level of DFT.

Lattice parameters (Å, degrees): 4.425 4.425 2.991 90.00 90.00 90.00
Space group P4/mmm (No. 123)
One atom of each set of equivalent atoms:
Tc 0.000 0.000 0.000 (multiplicity 1)
Cl 0.000 0.500 0.500 (multiplicity 2)

Output
total DFT energy (no corrections): -4.426 eV/atom

Computed, not measured: K4U3NiTe8 after structural relaxation at the GGA-PBE level of DFT.

Lattice parameters (Å, degrees): 15.526 8.797 9.712 90.00 121.86 90.00
Space group C2/m (No. 12)
One atom of each set of equivalent atoms:
K 0.000 0.000 0.000 (multiplicity 2)
K 0.000 0.500 0.000 (multiplicity 2)
K 0.250 0.250 0.000 (multiplicity 4)
U 0.000 0.000 0.500 (multiplicity 2)
U 0.250 0.250 0.500 (multiplicity 4)
Ni 0.000 0.500 0.500 (multiplicity 2)
Te 0.014 0.274 0.310 (multiplicity 8)
Te 0.237 0.000 0.715 (multiplicity 4)
Te 0.241 0.500 0.712 (multiplicity 4)

Output
total DFT energy (no corrections): -5.035 eV/atom

Computed, not measured: PmYMgCo after structural relaxation at the GGA-PBE level of DFT.

Lattice parameters (Å, degrees): 7.212 7.212 7.212 90.00 90.00 90.00
Space group F-43m (No. 216)
One atom of each set of equivalent atoms:
Pm 0.000 0.000 0.000 (multiplicity 4)
Y 0.000 0.000 0.500 (multiplicity 4)
Mg 0.250 0.250 0.250 (multiplicity 4)
Co 0.250 0.250 0.750 (multiplicity 4)

Output
total DFT energy (no corrections): -4.952 eV/atom

| no. | calculated volume (Å³/atom) | total magnetic moment (μB per cell) |
| --- | --- | --- |
| 1 | 19.518 | 2.30 |
| 2 | 35.207 | 16.86 |
| 3 | 23.448 | 1.41 |